# 1
# GGA-PBE BaNaTbF6, optimized geometry
# **E_form (uncorrected)**: -3.721 eV per atom
# **Calculated density**: 4.18 Mg/m³
data_BaNaTbF6
_chemical_formula_sum 'Ba2 Na2 Tb2 F12'
_symmetry_space_group_name_H-M 'P -3 1 c'
_symmetry_Int_Tables_number 163
_symmetry_space_group_name_Hall '-P 3 2c'
_cell_length_a 5.9938
_cell_length_b 5.9938
_cell_length_c 11.0762
_cell_angle_alpha 90.00
_cell_angle_beta 90.00
_cell_angle_gamma 120.00
loop_
_atom_site_label
_atom_site_fract_x
_atom_site_fract_y
_atom_site_fract_z
Ba1 0.0000 0.0000 0.0000
Na1 0.3333 0.6667 0.2500
Tb1 0.3333 0.6667 0.7500
F1 0.0175 0.3653 0.6413



# 2
# GGA-PBE Dy5PdRu4, optimized geometry
# **Formation enthalpy at 0 K**: -458 kJ/mol of formula units
# **Calculated density**: 11.00 Mg/m³
data_Dy5PdRu4
_chemical_formula_sum 'Dy5 Pd1 Ru4'
_symmetry_space_group_name_H-M 'P 4/m m m'
_symmetry_Int_Tables_number 123
_symmetry_space_group_name_Hall '-P 4 2'
_cell_length_a 3.426
_cell_length_b 3.426
_cell_length_c 17.009
_cell_angle_alpha 90.00
_cell_angle_beta 90.00
_cell_angle_gamma 90.00
loop_
_atom_site_label
_atom_site_fract_x
_atom_site_fract_y
_atom_site_fract_z
Dy1 0.000 0.000 0.000
Dy2 0.000 0.000 0.198
Dy3 0.000 0.000 0.394
Pd1 0.500 0.500 0.500
Ru1 0.500 0.500 0.099
Ru2 0.500 0.500 0.301



# 3
# GGA-PBE Sr5PuAs4, optimized geometry
# **Formation enthalpy at 0 K**: -887 kJ/mol of formula units
# **Calculated density**: 4.50 Mg/m³
data_Sr5PuAs4
_chemical_formula_sum 'Sr10 Pu2 As8'
_symmetry_space_group_name_H-M 'C 1 2/m 1'
_symmetry_Int_Tables_number 12
_symmetry_space_group_name_Hall '-C 2y'
_cell_length_a 19.297
_cell_length_b 4.497
_cell_length_c 8.650
_cell_angle_alpha 90.00
_cell_angle_beta 105.01
_cell_angle_gamma 90.00
loop_
_atom_site_label
_atom_site_fract_x
_atom_site_fract_y
_atom_site_fract_z
Sr1 0.000 0.000 0.000
Sr2 0.160 0.500 0.831
Sr3 0.168 0.500 0.365
Pu1 0.000 0.000 0.500
As1 0.003 0.500 0.266
As2 0.165 0.000 0.605



- Look up the calculated density of the first one.
  4.18 Mg/m³